[1]
Below is a relaxed PmZnCu2Rh crystal, with properties calculated at the GGA-PBE level.

Calculated values
Its formation enthalpy at 0 K is -0.3161 eV per atom. For the final energy, the calculation gives -4.63 eV per atom. As for the theoretical density: 8.32 g cm⁻³.

a b c (Å): 3.9192 3.9712 11.2998
angles (deg): 90.00 90.00 90.00
With the nearest neighbours (Å) after each atom.
Space group Imm2 (No. 44)
Symmetry-distinct sites (fractional):
Pm (0.0000, 0.0000, 0.0000) (multiplicity 2)  4 Rh 3.00, 4 Cu 3.12
Zn (0.0000, 0.5000, 0.7545) (multiplicity 2)  2 Cu 2.48, 2 Rh 2.57
Cu (0.0000, 0.0000, 0.6231) (multiplicity 2)  2 Cu 2.47, 2 Zn 2.48, 1 Rh 2.50
Cu (0.0000, 0.5000, 0.2564) (multiplicity 2)  2 Cu 2.47, 2 Rh 2.58
Rh (0.0000, 0.0000, 0.4022) (multiplicity 2)  3 Cu 2.50-2.58, 2 Zn 2.57

[2]
Below is a relaxed PmZrCuRh crystal, with properties calculated at the GGA-PBE level.

Calculated values
Its formation enthalpy at 0 K is -0.3436 eV per atom. For the final energy, the calculation gives -6.53 eV per atom. As for the theoretical density: 8.37 g cm⁻³.

a b c (Å): 6.8360 6.8360 6.8360
angles (deg): 90.00 90.00 90.00
With the nearest neighbours (Å) after each atom.
Space group F-43m (No. 216)
Symmetry-distinct sites (fractional):
Pm (0.0000, 0.0000, 0.0000) (multiplicity 4)  4 Rh 2.96, 4 Cu 2.96
Zr (0.0000, 0.0000, 0.5000) (multiplicity 4)  4 Cu 2.96, 4 Rh 2.96
Cu (0.2500, 0.2500, 0.7500) (multiplicity 4)  4 Zr 2.96, 4 Pm 2.96
Rh (0.2500, 0.2500, 0.2500) (multiplicity 4)  4 Zr 2.96, 4 Pm 2.96

[3]
Below is a relaxed Pm3CuRu crystal, with properties calculated at the GGA-PBE level.

Calculated values
Its formation enthalpy at 0 K is -0.1749 eV per atom. For the final energy, the calculation gives -5.70 eV per atom. As for the theoretical density: 7.74 g cm⁻³.

a b c (Å): 6.6815 4.0575 9.4944
angles (deg): 90.00 90.05 90.00
With the nearest neighbours (Å) after each atom.
Space group P2_1/m (No. 11)
Symmetry-distinct sites (fractional):
Pm (0.2257, 0.2500, 0.0591) (multiplicity 2)  2 Ru 2.98, 2 Cu 3.05
Pm (0.2258, 0.2500, 0.4409) (multiplicity 2)  2 Ru 2.98, 2 Cu 3.05
Pm (0.2504, 0.7500, 0.7501) (multiplicity 2)  2 Ru 2.82, 2 Cu 2.93
Cu (0.4327, 0.7500, 0.2500) (multiplicity 2)  1 Ru 2.60
Ru (0.0429, 0.7500, 0.2498) (multiplicity 2)  1 Cu 2.60, 2 Pm 2.82

[4]
Below is a relaxed Pm6Cu2Ru crystal, with properties calculated at the GGA-PBE level.

Calculated values
Its formation enthalpy at 0 K is -0.1032 eV per atom. For the final energy, the calculation gives -5.21 eV per atom. As for the theoretical density: 7.11 g cm⁻³.

a b c (Å): 6.6173 7.4694 12.2934
angles (deg): 90.00 122.38 90.00
With the nearest neighbours (Å) after each atom.
Space group P2_1/c (No. 14)
Symmetry-distinct sites (fractional):
Pm (0.1036, 0.0343, 0.2506) (multiplicity 4)  1 Ru 2.78, 2 Cu 2.97
Pm (0.2257, 0.6817, 0.0702) (multiplicity 4)  1 Ru 2.75, 2 Cu 2.94-3.07
Pm (0.3931, 0.1781, 0.0692) (multiplicity 4)  1 Ru 2.77, 2 Cu 2.96-3.00
Cu (0.3099, 0.1144, 0.7469) (multiplicity 4)  6 Pm 2.94-3.07
Ru (0.5000, 0.0000, 0.5000) (multiplicity 2)  6 Pm 2.75-2.78

[5]
Below is a relaxed Pm3CuRu2 crystal, with properties calculated at the GGA-PBE level.

Calculated values
Its formation enthalpy at 0 K is -0.2020 eV per atom. For the final energy, the calculation gives -6.35 eV per atom. As for the theoretical density: 8.87 g cm⁻³.

a b c (Å): 3.4711 3.4711 10.8921
angles (deg): 90.00 90.00 90.00
With the nearest neighbours (Å) after each atom.
Space group P4/mmm (No. 123)
Symmetry-distinct sites (fractional):
Pm (0.0000, 0.0000, 0.0000) (multiplicity 1)  8 Ru 3.06
Pm (0.0000, 0.0000, 0.3222) (multiplicity 2)  4 Ru 2.97, 4 Cu 3.13
Cu (0.5000, 0.5000, 0.5000) (multiplicity 1)  8 Pm 3.13, 4 Cu 3.47
Ru (0.5000, 0.5000, 0.1682) (multiplicity 2)  8 Pm 2.97-3.06

[6]
Below is a relaxed PmCu4Ru crystal, with properties calculated at the GGA-PBE level.

Calculated values
Its formation enthalpy at 0 K is -0.0074 eV per atom. For the final energy, the calculation gives -5.08 eV per atom. As for the theoretical density: 9.23 g cm⁻³.

a b c (Å): 7.1129 7.1129 7.1129
angles (deg): 90.00 90.00 90.00
With the nearest neighbours (Å) after each atom.
Space group F-43m (No. 216)
Symmetry-distinct sites (fractional):
Pm (0.0000, 0.0000, 0.0000) (multiplicity 4)  12 Cu 2.95, 4 Ru 3.08
Cu (0.1234, 0.1234, 0.6234) (multiplicity 16)  6 Cu 2.48-2.55
Ru (0.2500, 0.2500, 0.2500) (multiplicity 4)  12 Cu 2.95, 4 Pm 3.08

[7]
Below is a relaxed Pm2Cu2Ru crystal, with properties calculated at the GGA-PBE level.

Calculated values
Its formation enthalpy at 0 K is -0.1594 eV per atom. For the final energy, the calculation gives -5.55 eV per atom. As for the theoretical density: 7.99 g cm⁻³.

a b c (Å): 10.5535 4.1238 11.2159
angles (deg): 90.00 117.99 90.00
With the nearest neighbours (Å) after each atom.
Space group C2/m (No. 12)
Symmetry-distinct sites (fractional):
Pm (0.0889, 0.0000, 0.3820) (multiplicity 4)  2 Ru 2.91, 6 Cu 3.01-3.16
Pm (0.1962, 0.5000, 0.1428) (multiplicity 4)  4 Ru 3.00-3.33, 7 Cu 3.03-3.28
Cu (0.0492, 0.0000, 0.9217) (multiplicity 4)  1 Cu 2.42, 2 Ru 2.51
Cu (0.1204, 0.5000, 0.6074) (multiplicity 4)  1 Ru 2.51, 1 Cu 2.55
Ru (0.0790, 0.5000, 0.8101) (multiplicity 4)  3 Cu 2.51

[8]
Below is a relaxed Pm3Cu3Ru2 crystal, with properties calculated at the GGA-PBE level.

Calculated values
Its formation enthalpy at 0 K is -0.1293 eV per atom. For the final energy, the calculation gives -5.77 eV per atom. As for the theoretical density: 8.37 g cm⁻³.

a b c (Å): 4.2071 10.2161 15.2870
angles (deg): 90.00 90.00 90.00
With the nearest neighbours (Å) after each atom.
Space group Cmcm (No. 63)
Symmetry-distinct sites (fractional):
Pm (0.0000, 0.1048, 0.0975) (multiplicity 8)  4 Ru 2.95-3.31, 7 Cu 2.98-3.23
Pm (0.0000, 0.3883, 0.2500) (multiplicity 4)  5 Cu 2.96-3.20, 4 Ru 3.11
Cu (0.0000, 0.3222, 0.7500) (multiplicity 4)  2 Ru 2.51
Cu (0.0000, 0.3933, 0.0409) (multiplicity 8)  1 Cu 2.51, 2 Ru 2.52
Ru (0.0000, 0.1932, 0.6104) (multiplicity 8)  3 Cu 2.51-2.52